The following is a DFT calculation (PBE) of a relaxed Ag13Sb2 crystal.

The crystal system is triclinic. The calculation puts the uncorrected formation energy at 31 meV/atom.

It has space group P-1 (No. 2), with a = 5.206 Å, b = 7.331 Å, c = 7.904 Å, α = 71.54°, β = 83.36° and γ = 89.69°. The asymmetric unit holds Ag at (0.000, 0.000, 0.000), Ag at (0.071, 0.136, 0.602), Ag at (0.201, 0.395, 0.794), Ag at (0.270, 0.538, 0.401), Ag at (0.337, 0.672, 0.003), Ag at (0.401, 0.799, 0.596), Ag at (0.465, 0.930, 0.201) and Sb at (0.134, 0.266, 0.203).